The following is a PBE calculation of an optimized crystal structure of CeTh2Al6, from Alexandria.

abc: 4.1336 7.6701 7.6701
angles: 120.00 90.00 90.00
Last column: magnetic moment on the atom in μB.
Fractional coordinates of all 9 atoms:
Al  0.5000  0.6669  0.6669  0.00
Al  0.5000  0.6669  0.0000  0.00
Al  0.5000  0.0000  0.6669  0.00
Al  0.5000  0.3331  0.3331  0.00
Al  0.5000  0.0000  0.3331  0.00
Al  0.5000  0.3331  0.0000  0.00
Th  0.0000  0.3333  0.6667  0.00
Th  0.0000  0.6667  0.3333  0.00
Ce  0.0000  0.0000  0.0000  0.69

Properties
**DOS at the Fermi energy**: 9.41 states/eV per cell
**Symmetry**: P6/mmm, No. 191
**ΔE_f**: -3.75 eV/f.u.

The following is a PBE calculation of an optimized crystal structure of CuTcAs2, from Alexandria.

abc: 3.1050 3.1165 6.7978
angles: 70.84 90.00 90.00
Fractional coordinates of all 4 atoms:
Cu  0.5000  0.2500  0.2500
As  0.0000  0.4181  0.5176
As  0.0000  0.0819  0.9824
Tc  0.5000  0.7500  0.7500

Properties
**DOS at the Fermi energy**: 1.01 states/eV per cell
**Symmetry**: P2/m, No. 10
**ΔE_f**: 0.13 eV/f.u.

The following is a PBE calculation of an optimized crystal structure of La3BiIr, from Alexandria.

abc: 8.2714 7.4014 5.9785
angles: 90.00 60.43 90.00
Fractional coordinates of all 10 atoms:
Ir  0.5114  0.7500  0.1212
Ir  0.4886  0.2500  0.8788
Bi  0.8211  0.2500  0.3407
Bi  0.1789  0.7500  0.6593
La  0.7825  0.0169  0.8747
La  0.3689  0.2500  0.4966
La  0.7825  0.4831  0.8747
La  0.2175  0.5169  0.1253
La  0.6311  0.7500  0.5034
La  0.2175  0.9831  0.1253

Properties
**DOS at the Fermi energy**: 11.46 states/eV per cell
**Symmetry**: P2_1/m, No. 11
**ΔE_f**: -3.36 eV/f.u.

The following is a PBE calculation of an optimized crystal structure of TbPmGeIr, from Alexandria.

abc: 5.0396 5.0396 5.0396
angles: 60.00 60.00 60.00
Fractional coordinates of all 4 atoms:
Ge  0.2500  0.2500  0.2500
Ir  0.7500  0.7500  0.7500
Tb  0.0000  0.0000  0.0000
Pm  0.5000  0.5000  0.5000

Properties
**DOS at the Fermi energy**: 2.84 states/eV per cell
**Symmetry**: F-43m, No. 216
**ΔE_f**: -2.49 eV/f.u.